# Li2Ca3Ga7 | Alexandria | PBE | relaxed
# Crystal system: trigonal
# Energy relative to the elements, eV/atom: -0.424
# VASP energy, eV/f.u.: -36.11
data_Li2Ca3Ga7
_cell_length_a 5.5824
_cell_length_b 5.5824
_cell_length_c 26.5613
_cell_angle_alpha 90.00
_cell_angle_beta 90.00
_cell_angle_gamma 120.00
_space_group_name_H-M_alt 'R -3 m'
_space_group_IT_number 166
_space_group_name_Hall '-R 3 2"'
loop_
_atom_site_label
_atom_site_fract_x
_atom_site_fract_y
_atom_site_fract_z
Li1 0.0000 0.0000 0.1645
Ca1 0.0000 0.0000 0.3590
Ca2 0.0000 0.0000 0.5000
Ga1 0.0000 0.0000 0.0000
Ga2 0.0068 0.5034 0.4187